<i>
Material: Tb3Pm8Sm2
Method: DFT, PBE-GGA
State: optimized geometry Values from VASP.

```
&SYSTEM
  ibrav = 0, nat = 13, ntyp = 3
/
ATOMIC_SPECIES
Pm 145.00 Pm.upf
Sm 150.36 Sm.upf
Tb 158.93 Tb.upf
ATOMIC_POSITIONS crystal
Pm 0.3078 0.8461 0.6166
Pm 0.6168 0.6926 0.2287
Pm 0.6922 0.1539 0.3834
Pm 0.9213 0.5388 0.8478
Pm 0.8451 0.0771 0.6940
Pm 0.3832 0.3074 0.7713
Pm 0.1549 0.9229 0.3060
Pm 0.0787 0.4612 0.1522
Sm 0.2308 0.3848 0.4611
Sm 0.7692 0.6152 0.5389
Tb 0.4611 0.7699 0.9242
Tb 0.0000 0.0000 0.0000
Tb 0.5389 0.2301 0.0758
CELL_PARAMETERS angstrom
-0.6996 0.7937 6.1919
4.9828 -3.8170 -0.0082
8.5192 7.6823 -0.0274
```

***

<ii>
Material: Tb3Pm8Sm2
Method: DFT, PBE-GGA
State: optimized geometry Values from VASP.

```
&SYSTEM
  ibrav = 0, nat = 13, ntyp = 3
/
ATOMIC_SPECIES
Pm 145.00 Pm.upf
Sm 150.36 Sm.upf
Tb 158.93 Tb.upf
ATOMIC_POSITIONS crystal
Pm 0.9996 0.1311 0.2622
Pm 0.9996 0.3292 0.6583
Pm 0.5000 0.6008 0.7896
Pm 0.0004 0.8689 0.7378
Pm 0.0004 0.6708 0.3417
Pm 0.5000 0.8113 0.2104
Pm 0.5000 0.1887 0.7896
Pm 0.5000 0.3992 0.2104
Sm 0.4993 0.2404 0.4808
Sm 0.5007 0.7596 0.5192
Tb 0.5000 0.0000 0.0000
Tb 0.0000 0.7134 0.0000
Tb 0.0000 0.2866 0.0000
CELL_PARAMETERS angstrom
5.6656 0.0000 0.7503
0.0000 7.7172 0.0000
-1.3570 -3.8586 10.2019
```

***

Energies, relative to the best one, in meV per atom: <i> 0; <ii> 196.

***

<i>
Material: Tb2Pm3Sm4
Method: DFT, PBE-GGA
State: optimized geometry Values from VASP.

```
&SYSTEM
  ibrav = 0, nat = 9, ntyp = 3
/
ATOMIC_SPECIES
Sm 150.36 Sm.upf
Tb 158.93 Tb.upf
Pm 145.00 Pm.upf
ATOMIC_POSITIONS crystal
Sm 0.0000 0.0000 0.7655
Sm 0.6667 0.3333 0.4349
Sm 0.0000 0.0000 0.5433
Sm 0.6667 0.3333 0.2149
Tb 0.6667 0.3333 0.8719
Tb 0.6667 0.3333 0.0880
Pm 0.0000 0.0000 0.9826
Pm 0.0000 0.0000 0.3218
Pm 0.6667 0.3333 0.6543
CELL_PARAMETERS angstrom
-0.9109 -3.0063 -1.8172
3.4921 0.9272 0.3393
1.5677 -14.2318 22.7588
```

***

<ii>
Material: Tb2Pm3Sm4
Method: DFT, PBE-GGA
State: optimized geometry Values from VASP.

```
&SYSTEM
  ibrav = 0, nat = 9, ntyp = 3
/
ATOMIC_SPECIES
Pm 145.00 Pm.upf
Sm 150.36 Sm.upf
Tb 158.93 Tb.upf
ATOMIC_POSITIONS crystal
Pm 0.3329 0.6657 0.5558
Pm 0.0000 0.0000 0.0000
Pm 0.6671 0.3343 0.4442
Sm 0.3330 0.6661 0.8892
Sm 0.9998 0.9996 0.3326
Sm 0.6670 0.3339 0.1108
Sm 0.0002 0.0004 0.6674
Tb 0.3332 0.6664 0.2220
Tb 0.6668 0.3336 0.7780
CELL_PARAMETERS angstrom
-2.4650 2.4464 1.0193
-1.5297 -6.2649 4.9107
5.9188 2.2972 8.7996
```

***

Energies, relative to the best one, in meV per atom: <i> 49; <ii> 0.